Record 1
A relaxed CrNi2P crystal, computed with GGA-PBE.

Cell: 2.7719 2.7719 5.8150 Å, 90.00 90.00 90.00°
Fractional coordinates of all 4 atoms:
1 Ni 0.0000 0.0000 0.9940
2 Ni 0.5000 0.5000 0.2778
3 P 0.0000 0.0000 0.5009
4 Cr 0.5000 0.5000 0.7274

Formation energy: -0.0924 eV/atom
Calculated total energy: -0.248 hartree per atom
Theoretical density: 7.4 g/cm³
Crystal system: tetragonal

---

Record 2
A relaxed CrNi3P crystal, computed with GGA-PBE.

Cell: 4.2373 4.2373 4.2373 Å, 90.00 90.00 90.00°
Fractional coordinates of all 5 atoms:
1 Cr 0.0000 0.0000 0.0000
2 Ni 0.5000 0.0000 0.0000
3 Ni 0.0000 0.0000 0.5000
4 Ni 0.0000 0.5000 0.0000
5 P 0.5000 0.5000 0.5000

Formation energy: 1.2893 eV/atom
Excess energy over the best structure of this formula in the dataset: 1104 meV per atom
Calculated total energy: -0.191 hartree per atom
Theoretical density: 5.7 g/cm³
Crystal system: cubic

---

Record 3
A relaxed Cr2NiP crystal, computed with GGA-PBE.

Cell: 2.9944 2.9944 5.1466 Å, 90.00 90.00 90.00°
Each line ends with the local moment (μB).
Fractional coordinates of all 4 atoms:
1 Cr 0.0000 0.0000 0.0001  -0.72
2 Cr 0.5000 0.5000 0.2460  1.58
3 P 0.5000 0.5000 0.7420  0.00
4 Ni 0.0000 0.0000 0.5118  0.20

Formation energy: -0.0924 eV/atom
Calculated total energy: -0.283 hartree per atom
Theoretical density: 7.0 g/cm³
Crystal system: tetragonal

---

Record 4
A relaxed CrNi3P crystal, computed with GGA-PBE.

Cell: 4.1416 4.1416 4.1416 Å, 90.00 90.00 90.00°
Each line ends with the local moment (μB).
Fractional coordinates of all 5 atoms:
1 Ni 0.0000 0.0000 0.5000  0.06
2 Ni 0.5000 0.0000 0.0000  0.12
3 Ni 0.0000 0.5000 0.0000  0.09
4 P 0.0000 0.0000 0.0000  0.00
5 Cr 0.5000 0.5000 0.5000  3.71

Formation energy: 0.1858 eV/atom
Excess energy over the best structure of this formula in the dataset: 0 meV per atom
Calculated total energy: -0.231 hartree per atom
Theoretical density: 6.1 g/cm³
Crystal system: cubic

---

Record 5
A relaxed CrNiP crystal, computed with GGA-PBE.

Cell: 5.7873 5.7873 3.5415 Å, 90.00 90.00 120.00°
Each line ends with the local moment (μB).
Fractional coordinates of all 9 atoms:
1 P 0.6667 0.3333 0.0000  -0.07
2 P 0.0000 0.0000 0.5000  -0.06
3 P 0.3333 0.6667 0.0000  -0.07
4 Cr 0.4069 0.4069 0.5000  1.54
5 Cr 0.0000 0.5931 0.5000  1.54
6 Cr 0.5931 0.0000 0.5000  1.54
7 Ni 0.2555 0.0000 0.0000  0.10
8 Ni 0.0000 0.2555 0.0000  0.10
9 Ni 0.7445 0.7445 0.0000  0.10

Formation energy: -0.5017 eV/atom
Calculated total energy: -0.273 hartree per atom
Theoretical density: 6.9 g/cm³
Crystal system: hexagonal

---

Record 6
A relaxed CrNiP crystal, computed with GGA-PBE.

Cell: 4.7379 4.7376 2.8253 Å, 72.66 72.65 34.69°
Fractional coordinates of all 3 atoms:
1 P 0.6605 0.6605 0.3395
2 Cr 0.0189 0.0189 0.9811
3 Ni 0.3205 0.3205 0.6795

Formation energy: -0.0821 eV/atom
Calculated total energy: -0.258 hartree per atom
Theoretical density: 6.9 g/cm³
Crystal system: tetragonal

---

The highest theoretical density belongs to which entry? CrNi2P

---

What is the formula in the first record? CrNi2P

---

What is the formula in the third record? Cr2NiP